Entry 1:
First-principles (PBEsol) data for a geometry-optimized Ba5Co5O14 structure, as listed in Alexandria via LeMat-Bulk.

abc: 5.613 5.613 11.808
angles: 90.00 90.00 120.00
Site moments in Bohr magnetons follow the coordinates.
Atoms (fractional coordinates):
O (0.147, 0.294, 0.602)  0.06
O (0.706, 0.853, 0.602)  0.06
O (0.333, 0.667, 0.994)  0.43
O (0.853, 0.147, 0.398)  0.06
O (0.680, 0.840, 0.199)  0.25
O (0.160, 0.320, 0.199)  0.25
O (0.840, 0.680, 0.801)  0.25
O (0.160, 0.840, 0.199)  0.25
O (0.294, 0.147, 0.398)  0.06
O (0.840, 0.160, 0.801)  0.25
O (0.320, 0.160, 0.801)  0.25
O (0.147, 0.853, 0.602)  0.06
O (0.853, 0.706, 0.398)  0.06
O (0.667, 0.333, 0.006)  0.43
Co (0.667, 0.333, 0.859)  2.64
Co (0.333, 0.667, 0.141)  2.64
Co (0.000, 0.000, 0.500)  0.57
Co (0.000, 0.000, 0.292)  0.84
Co (0.000, 0.000, 0.708)  0.84
Ba (0.667, 0.333, 0.582)  0.01
Ba (0.333, 0.667, 0.418)  0.01
Ba (0.333, 0.667, 0.774)  0.01
Ba (0.000, 0.000, 0.000)  0.01
Ba (0.667, 0.333, 0.226)  0.01

Calculated values
- V (Å³/atom) = 13.42
- electronic total energy (eV/atom) = -6.9365
- SG = No. 164
- size of the total moment (μB per formula unit) = 11.0

Entry 2:
First-principles (PBEsol) data for a geometry-optimized KMg3AlSi3H2O12 structure, as listed in Alexandria via LeMat-Bulk.

abc: 5.309 5.314 10.666
angles: 77.56 83.71 59.97
Atoms (fractional coordinates):
O (0.408, 0.605, 0.825)
O (0.577, 0.041, 0.825)
O (0.013, 0.436, 0.824)
O (0.665, 0.545, 0.392)
O (0.497, 0.478, 0.178)
O (0.006, 0.878, 0.398)
O (0.334, 0.453, 0.611)
O (0.999, 0.128, 0.597)
O (0.331, 0.220, 0.392)
O (0.665, 0.792, 0.599)
O (0.998, 0.479, 0.178)
O (0.500, 0.975, 0.180)
Si (0.665, 0.616, 0.238)
Si (0.332, 0.284, 0.238)
Si (0.333, 0.384, 0.771)
H (0.998, 0.092, 0.691)
H (0.014, 0.912, 0.305)
Mg (0.998, 0.505, 0.506)
Mg (0.337, 0.829, 0.506)
Mg (0.665, 0.163, 0.505)
K (0.999, 0.966, 0.973)
Al (0.666, 0.719, 0.767)

Calculated values
- V (Å³/atom) = 11.56
- electronic total energy (eV/atom) = -7.0224
- SG = No. 1
- size of the total moment (μB per formula unit) = 0.0

Entry 3:
First-principles (PBEsol) data for a geometry-optimized La3Sn13Rh4 structure, as listed in Alexandria via LeMat-Bulk.

abc: 9.700 9.700 9.700
angles: 90.00 90.00 90.00
Atoms (fractional coordinates):
Sn (0.306, 0.847, 0.000)
Sn (0.694, 0.153, 0.000)
Sn (0.000, 0.306, 0.847)
Sn (0.153, 0.000, 0.306)
Sn (0.500, 0.347, 0.806)
Sn (0.000, 0.694, 0.153)
Sn (0.500, 0.653, 0.806)
Sn (0.306, 0.153, 0.000)
Sn (0.194, 0.500, 0.653)
Sn (0.847, 0.000, 0.306)
Sn (0.653, 0.194, 0.500)
Sn (0.347, 0.194, 0.500)
Sn (0.500, 0.500, 0.500)
Sn (0.500, 0.653, 0.194)
Sn (0.806, 0.500, 0.653)
Sn (0.806, 0.500, 0.347)
Sn (0.000, 0.306, 0.153)
Sn (0.194, 0.500, 0.347)
Sn (0.500, 0.347, 0.194)
Sn (0.653, 0.806, 0.500)
Sn (0.000, 0.694, 0.847)
Sn (0.694, 0.847, 0.000)
Sn (0.000, 0.000, 0.000)
Sn (0.153, 0.000, 0.694)
Sn (0.347, 0.806, 0.500)
Sn (0.847, 0.000, 0.694)
Rh (0.250, 0.250, 0.250)
Rh (0.750, 0.750, 0.750)
Rh (0.250, 0.750, 0.750)
Rh (0.250, 0.250, 0.750)
Rh (0.750, 0.250, 0.250)
Rh (0.750, 0.250, 0.750)
Rh (0.750, 0.750, 0.250)
Rh (0.250, 0.750, 0.250)
La (0.750, 0.500, 0.000)
La (0.250, 0.500, 0.000)
La (0.000, 0.750, 0.500)
La (0.000, 0.250, 0.500)
La (0.500, 0.000, 0.750)
La (0.500, 0.000, 0.250)

Calculated values
- V (Å³/atom) = 22.82
- ΔH_f (0 K) (eV per atom) = -0.6571
- SG = No. 223
- size of the total moment (μB per formula unit) = 0.0

Entry 4:
First-principles (PBEsol) data for a geometry-optimized CdRuBr2 structure, as listed in Alexandria via LeMat-Bulk.

abc: 3.548 5.097 6.546
angles: 113.21 90.00 110.37
Atoms (fractional coordinates):
Br (0.904, 0.808, 0.924)
Br (0.740, 0.481, 0.337)
Ru (0.300, 0.600, 0.651)
Cd (0.556, 0.112, 0.588)

Calculated values
- V (Å³/atom) = 25.17
- SG = No. 8
- ΔE to the lowest computed polymorph (eV per atom) = 0.000
- size of the total moment (μB per formula unit) = 0.0

Entry 5:
First-principles (PBEsol) data for a geometry-optimized NiPH16NO10 structure, as listed in Alexandria via LeMat-Bulk.

abc: 5.982 6.876 11.077
angles: 90.00 90.00 90.00
Site moments in Bohr magnetons follow the coordinates.
Atoms (fractional coordinates):
O (0.868, 0.686, 0.541)  0.00
O (0.738, 0.275, 0.763)  0.05
O (0.132, 0.814, 0.041)  0.00
O (0.457, 0.802, 0.497)  0.06
O (0.030, 0.000, 0.442)  0.05
O (0.262, 0.225, 0.263)  0.05
O (0.868, 0.314, 0.541)  0.00
O (0.771, 0.000, 0.057)  0.01
O (0.988, 0.000, 0.860)  0.00
O (0.229, 0.500, 0.557)  0.01
O (0.331, 0.500, 0.793)  0.04
O (0.543, 0.698, 0.997)  0.06
O (0.132, 0.186, 0.041)  0.00
O (0.543, 0.302, 0.997)  0.06
O (0.970, 0.500, 0.942)  0.05
O (0.738, 0.725, 0.763)  0.05
O (0.457, 0.198, 0.497)  0.06
O (0.012, 0.500, 0.360)  0.00
O (0.669, 0.000, 0.293)  0.04
O (0.262, 0.775, 0.263)  0.05
H (0.980, 0.880, 0.488)  0.00
H (0.636, 0.818, 0.017)  0.00
H (0.508, 0.623, 0.254)  0.00
H (0.707, 0.000, 0.205)  0.00
H (0.492, 0.123, 0.754)  0.00
H (0.204, 0.800, 0.178)  0.00
H (0.617, 0.758, 0.502)  0.00
H (0.492, 0.877, 0.754)  0.00
H (0.383, 0.258, 0.002)  0.00
H (0.617, 0.242, 0.502)  0.00
H (0.293, 0.500, 0.705)  0.00
H (0.378, 0.000, 0.639)  0.00
H (0.156, 0.321, 0.303)  0.00
H (0.622, 0.500, 0.139)  0.00
H (0.844, 0.821, 0.803)  0.00
H (0.796, 0.700, 0.678)  0.00
H (0.844, 0.179, 0.803)  0.00
H (0.364, 0.318, 0.517)  0.00
H (0.383, 0.742, 0.002)  0.00
H (0.636, 0.182, 0.017)  0.00
H (0.156, 0.679, 0.303)  0.00
H (0.189, 0.500, 0.841)  0.00
H (0.980, 0.120, 0.488)  0.00
H (0.364, 0.682, 0.517)  0.00
H (0.759, 0.500, 0.279)  0.00
H (0.204, 0.200, 0.178)  0.00
H (0.241, 0.000, 0.779)  0.00
H (0.020, 0.380, 0.988)  0.00
H (0.508, 0.377, 0.254)  0.00
H (0.796, 0.300, 0.678)  0.00
H (0.811, 0.000, 0.341)  0.00
H (0.020, 0.620, 0.988)  0.00
P (0.992, 0.500, 0.499)  0.00
P (0.008, 0.000, 0.999)  0.00
Ni (0.357, 0.000, 0.373)  1.65
Ni (0.643, 0.500, 0.873)  1.65
N (0.395, 0.000, 0.733)  0.00
N (0.605, 0.500, 0.233)  0.00

Calculated values
- V (Å³/atom) = 7.86
- electronic total energy (eV/atom) = -5.4599
- SG = No. 31
- size of the total moment (μB per formula unit) = 2.0

Entry 6:
First-principles (PBEsol) data for a geometry-optimized FeW2Br structure, as listed in Alexandria via LeMat-Bulk.

abc: 2.846 2.846 8.591
angles: 90.00 90.00 113.13
Site moments in Bohr magnetons follow the coordinates.
Atoms (fractional coordinates):
W (0.000, 0.000, 0.011)  -0.07
W (0.500, 0.500, 0.768)  -0.01
Br (0.000, 0.000, 0.482)  0.07
Fe (0.500, 0.500, 0.239)  2.47

Calculated values
- V (Å³/atom) = 15.99
- SG = No. 35
- ΔE to the lowest computed polymorph (eV per atom) = 0.000
- size of the total moment (μB per formula unit) = 2.5

Entry 7:
First-principles (PBEsol) data for a geometry-optimized Zr9V4S structure, as listed in Alexandria via LeMat-Bulk.

abc: 8.426 8.499 8.499
angles: 120.00 90.00 90.00
Atoms (fractional coordinates):
V (0.250, 0.104, 0.207)
V (0.250, 0.104, 0.896)
V (0.750, 0.207, 0.104)
V (0.500, 0.000, 0.000)
V (0.750, 0.896, 0.793)
V (0.000, 0.000, 0.000)
V (0.750, 0.896, 0.104)
V (0.250, 0.793, 0.896)
Zr (0.450, 0.392, 0.196)
Zr (0.250, 0.080, 0.540)
Zr (0.750, 0.540, 0.080)
Zr (0.950, 0.196, 0.392)
Zr (0.550, 0.608, 0.804)
Zr (0.750, 0.920, 0.460)
Zr (0.050, 0.804, 0.196)
Zr (0.950, 0.196, 0.804)
Zr (0.550, 0.196, 0.804)
Zr (0.550, 0.196, 0.392)
Zr (0.450, 0.804, 0.608)
Zr (0.250, 0.460, 0.540)
Zr (0.450, 0.804, 0.196)
Zr (0.950, 0.608, 0.804)
Zr (0.050, 0.392, 0.196)
Zr (0.050, 0.804, 0.608)
Zr (0.750, 0.540, 0.460)
Zr (0.250, 0.460, 0.920)
S (0.750, 0.333, 0.667)
S (0.250, 0.667, 0.333)

Calculated values
- V (Å³/atom) = 18.82
- electronic total energy (eV/atom) = -9.1317
- SG = No. 194
- size of the total moment (μB per formula unit) = 0.0

Entry 8:
First-principles (PBEsol) data for a geometry-optimized Hg3P structure, as listed in Alexandria via LeMat-Bulk.

abc: 3.135 3.135 8.424
angles: 90.00 90.00 90.00
Atoms (fractional coordinates):
P (0.500, 0.500, 0.500)
Hg (0.500, 0.500, 0.000)
Hg (0.000, 0.000, 0.727)
Hg (0.000, 0.000, 0.273)

Calculated values
- V (Å³/atom) = 20.70
- ΔH_f (0 K) (eV per atom) = 0.3692
- SG = No. 123
- ΔE to the lowest computed polymorph (eV per atom) = 0.309
- size of the total moment (μB per formula unit) = 0.0

Entry 9:
First-principles (PBEsol) data for a geometry-optimized In2NiMoF structure, as listed in Alexandria via LeMat-Bulk.

abc: 3.484 5.034 5.034
angles: 90.00 90.00 90.00
Site moments in Bohr magnetons follow the coordinates.
Atoms (fractional coordinates):
Ni (0.000, 0.000, 0.000)  0.19
F (0.500, 0.000, 0.000)  0.01
In (0.000, 0.000, 0.500)  -0.04
In (0.000, 0.500, 0.000)  -0.04
Mo (0.500, 0.500, 0.500)  1.74

Calculated values
- V (Å³/atom) = 17.65
- electronic total energy (eV/atom) = -4.9455
- SG = No. 123
- size of the total moment (μB per formula unit) = 2.0

Entry 10:
First-principles (PBEsol) data for a geometry-optimized CaTiAgP3O12 structure, as listed in Alexandria via LeMat-Bulk.

abc: 8.724 8.724 8.801
angles: 60.29 60.29 60.00
Atoms (fractional coordinates):
O (0.270, 0.044, 0.755)
O (0.432, 0.544, 0.255)
O (0.292, 0.534, 0.066)
O (0.420, 0.230, 0.751)
O (0.871, 0.707, 0.920)
O (0.608, 0.034, 0.566)
O (0.230, 0.598, 0.751)
O (0.920, 0.098, 0.251)
O (0.932, 0.270, 0.755)
O (0.707, 0.502, 0.920)
O (0.730, 0.920, 0.251)
O (0.098, 0.730, 0.251)
O (0.792, 0.608, 0.566)
O (0.108, 0.292, 0.066)
O (0.770, 0.432, 0.255)
O (0.598, 0.420, 0.751)
O (0.534, 0.108, 0.066)
O (0.044, 0.932, 0.755)
O (0.502, 0.871, 0.920)
O (0.207, 0.371, 0.420)
O (0.371, 0.002, 0.420)
O (0.034, 0.792, 0.566)
O (0.544, 0.770, 0.255)
O (0.002, 0.207, 0.420)
Ti (0.146, 0.146, 0.561)
Ti (0.646, 0.646, 0.061)
P (0.257, 0.541, 0.250)
P (0.541, 0.952, 0.250)
P (0.452, 0.041, 0.750)
P (0.952, 0.257, 0.250)
P (0.041, 0.757, 0.750)
P (0.757, 0.452, 0.750)
Ca (0.495, 0.495, 0.514)
Ca (0.995, 0.995, 0.014)
Ag (0.851, 0.851, 0.448)
Ag (0.351, 0.351, 0.948)

Calculated values
- V (Å³/atom) = 13.21
- electronic total energy (eV/atom) = -7.4084
- SG = No. 161
- size of the total moment (μB per formula unit) = 0.0

Entry 11:
First-principles (PBEsol) data for a geometry-optimized KHf3Rh structure, as listed in Alexandria via LeMat-Bulk.

abc: 5.060 5.060 5.060
angles: 90.00 90.00 90.00
Atoms (fractional coordinates):
K (0.500, 0.500, 0.500)
Hf (0.500, 0.000, 0.000)
Hf (0.000, 0.000, 0.500)
Hf (0.000, 0.500, 0.000)
Rh (0.000, 0.000, 0.000)

Calculated values
- V (Å³/atom) = 25.91
- ΔH_f (0 K) (eV per atom) = 0.5415
- SG = No. 221
- size of the total moment (μB per formula unit) = 0.0

Entry 12:
First-principles (PBEsol) data for a geometry-optimized Lu2Ga3Cu structure, as listed in Alexandria via LeMat-Bulk.

abc: 4.264 4.264 6.879
angles: 90.00 90.00 120.00
Atoms (fractional coordinates):
Lu (0.333, 0.667, 0.269)
Lu (0.333, 0.667, 0.739)
Ga (0.667, 0.333, 0.052)
Ga (0.000, 0.000, 0.522)
Ga (0.000, 0.000, 0.956)
Cu (0.667, 0.333, 0.462)

Calculated values
- V (Å³/atom) = 18.06
- ΔH_f (0 K) (eV per atom) = -0.6175
- SG = No. 156
- size of the total moment (μB per formula unit) = 0.0

Entry 13:
First-principles (PBEsol) data for a geometry-optimized Tm2Te3 structure, as listed in Alexandria via LeMat-Bulk.

abc: 7.334 7.334 13.373
angles: 100.54 100.54 109.46
Atoms (fractional coordinates):
Tm (0.500, 0.000, 0.000)
Tm (0.082, 0.082, 0.165)
Tm (0.250, 0.250, 0.500)
Tm (0.000, 0.500, 0.000)
Tm (0.332, 0.832, 0.665)
Tm (0.750, 0.750, 0.500)
Tm (0.168, 0.668, 0.335)
Tm (0.918, 0.918, 0.835)
Te (0.337, 0.834, 0.168)
Te (0.166, 0.663, 0.832)
Te (0.994, 0.494, 0.500)
Te (0.419, 0.416, 0.332)
Te (0.831, 0.334, 0.168)
Te (0.913, 0.916, 0.332)
Te (0.506, 0.006, 0.500)
Te (0.084, 0.087, 0.668)
Te (0.584, 0.581, 0.668)
Te (0.256, 0.256, 0.000)
Te (0.666, 0.169, 0.832)
Te (0.744, 0.744, 0.000)

Calculated values
- V (Å³/atom) = 32.17
- electronic total energy (eV/atom) = -5.4283
- SG = No. 70
- size of the total moment (μB per formula unit) = 0.0

Entry 14:
First-principles (PBEsol) data for a geometry-optimized Na5MnO4 structure, as listed in Alexandria via LeMat-Bulk.

abc: 5.782 5.986 7.736
angles: 90.00 90.00 90.00
Site moments in Bohr magnetons follow the coordinates.
Atoms (fractional coordinates):
Na (0.754, 0.606, 0.802)  0.01
Na (0.260, 0.681, 0.000)  0.01
Na (0.564, 0.071, 0.822)  0.00
Na (0.564, 0.071, 0.178)  0.00
Na (0.254, 0.394, 0.302)  0.01
Na (0.254, 0.394, 0.698)  0.01
Na (0.754, 0.606, 0.198)  0.01
Na (0.064, 0.929, 0.322)  0.00
Na (0.760, 0.319, 0.500)  0.01
Na (0.064, 0.929, 0.678)  0.00
O (0.384, 0.121, 0.500)  0.06
O (0.308, 0.287, 0.000)  0.07
O (0.884, 0.879, 0.000)  0.06
O (0.407, 0.743, 0.276)  0.07
O (0.808, 0.713, 0.500)  0.07
O (0.907, 0.257, 0.224)  0.07
O (0.907, 0.257, 0.776)  0.07
O (0.407, 0.743, 0.724)  0.07
Mn (0.005, 0.174, 0.000)  3.34
Mn (0.505, 0.826, 0.500)  3.34

Calculated values
- V (Å³/atom) = 13.39
- electronic total energy (eV/atom) = -5.1826
- SG = No. 31
- size of the total moment (μB per formula unit) = 4.0

Entry 15:
First-principles (PBEsol) data for a geometry-optimized SbP2AuCl structure, as listed in Alexandria via LeMat-Bulk.

abc: 4.923 5.037 5.037
angles: 90.00 90.00 90.00
Site moments in Bohr magnetons follow the coordinates.
Atoms (fractional coordinates):
P (0.000, 0.000, 0.500)  0.21
P (0.000, 0.500, 0.000)  0.21
Au (0.500, 0.500, 0.500)  0.06
Cl (0.500, 0.000, 0.000)  0.04
Sb (0.000, 0.000, 0.000)  0.00

Calculated values
- V (Å³/atom) = 24.98
- electronic total energy (eV/atom) = -3.3665
- SG = No. 123
- size of the total moment (μB per formula unit) = 1.0

Entry 16:
First-principles (PBEsol) data for a geometry-optimized Ba2SrAs structure, as listed in Alexandria via LeMat-Bulk.

abc: 6.175 8.585 8.585
angles: 82.57 68.92 68.92
Site moments in Bohr magnetons follow the coordinates.
Atoms (fractional coordinates):
As (0.500, 0.000, 0.000)  0.02
As (0.250, 0.500, 0.500)  0.02
Sr (0.750, 0.500, 0.500)  0.05
Sr (0.000, 0.000, 0.000)  0.05
Ba (0.258, 0.867, 0.367)  0.09
Ba (0.492, 0.133, 0.633)  0.09
Ba (0.375, 0.367, 0.133)  0.09
Ba (0.875, 0.633, 0.867)  0.09

Calculated values
- V (Å³/atom) = 49.53
- ΔH_f (0 K) (eV per atom) = -0.4492
- SG = No. 122
- size of the total moment (μB per formula unit) = 1.2

Entry 17:
First-principles (PBEsol) data for a geometry-optimized ZnPtPb structure, as listed in Alexandria via LeMat-Bulk.

abc: 3.271 3.271 5.891
angles: 106.12 106.12 90.00
Atoms (fractional coordinates):
Pt (0.307, 0.307, 0.614)
Pb (0.988, 0.988, 0.976)
Zn (0.705, 0.705, 0.409)

Calculated values
- V (Å³/atom) = 19.33
- ΔH_f (0 K) (eV per atom) = -0.0982
- SG = No. 107
- size of the total moment (μB per formula unit) = 0.0